This record from the Open Quantum Materials Database describes a relaxed AcRePd crystal. The functional is PBE-GGA.

- spin magnetization (μB per formula unit) = 2.8
- crystal system = cubic
- symmetry = No. 216
- formation energy from the elements (meV per atom) = 770.6
- calculated volume (Å³ per cell) = 78

abc: 4.7993 4.7993 4.7993
angles: 60.00 60.00 60.00
Last column: nearest neighbours and their distance in Å.
Sites, in units of the cell vectors:
1 Ac 0.0000 0.0000 0.0000  4 Pd 2.94
2 Re 0.5000 0.5000 0.5000  4 Pd 2.94
3 Pd 0.2500 0.2500 0.2500  4 Re 2.94, 4 Ac 2.94